Version 1
The following is a PBE calculation of CeLu2Zr after structural relaxation, from Alexandria. Values from VASP.

Geometry as Quantum ESPRESSO input:
```
&SYSTEM
  ibrav = 0, nat = 4, ntyp = 3
/
ATOMIC_SPECIES
Zr 91.22 Zr.upf
Ce 140.12 Ce.upf
Lu 174.97 Lu.upf
ATOMIC_POSITIONS crystal
Zr 0.5000 0.5000 0.5000
Ce 0.5000 0.5000 0.0000
Lu 0.0000 0.0000 0.2651
Lu 0.0000 0.0000 0.7349
CELL_PARAMETERS angstrom
-2.1502 0.0599 -3.3494
1.6890 -3.4178 -1.1454
-5.0871 -3.5868 3.2015
```

* size of the total moment: 0.53 μB/cell

***

Version 2
The following is a PBE calculation of CeLu2Zr after structural relaxation, from Alexandria. Values from VASP.

Geometry as Quantum ESPRESSO input:
```
&SYSTEM
  ibrav = 0, nat = 4, ntyp = 3
/
ATOMIC_SPECIES
Zr 91.22 Zr.upf
Lu 174.97 Lu.upf
Ce 140.12 Ce.upf
ATOMIC_POSITIONS crystal
Zr 0.5000 0.0000 0.0000
Lu 0.0000 0.5000 0.0000
Lu 0.0000 0.0000 0.5000
Ce 0.5000 0.5000 0.5000
CELL_PARAMETERS angstrom
4.8956 0.0000 0.0000
0.0000 4.7218 0.0000
0.0000 0.0000 4.7218
```

* size of the total moment: 0.00 μB/cell

***

The data favor version 2; the next most stable structure lies 10.7 kJ/mol of atoms above it.

***

Version 1
The following is a PBE calculation of CeLuZr2 after structural relaxation, from Alexandria. Values from VASP.

Geometry as Quantum ESPRESSO input:
```
&SYSTEM
  ibrav = 0, nat = 4, ntyp = 3
/
ATOMIC_SPECIES
Ce 140.12 Ce.upf
Lu 174.97 Lu.upf
Zr 91.22 Zr.upf
ATOMIC_POSITIONS crystal
Ce 0.5000 0.5000 0.5000
Lu 0.0000 0.0000 0.0000
Zr 0.0891 0.0891 0.7326
Zr 0.9109 0.9109 0.2674
CELL_PARAMETERS angstrom
-1.7341 -1.2197 -2.4781
1.4096 -0.4638 -2.9041
2.8689 -11.1730 1.3456
```

* size of the total moment: 0.00 μB/cell

***

Version 2
The following is a PBE calculation of CeLuZr2 after structural relaxation, from Alexandria. Values from VASP.

Geometry as Quantum ESPRESSO input:
```
&SYSTEM
  ibrav = 0, nat = 4, ntyp = 3
/
ATOMIC_SPECIES
Lu 174.97 Lu.upf
Zr 91.22 Zr.upf
Ce 140.12 Ce.upf
ATOMIC_POSITIONS crystal
Lu 0.5000 0.5000 0.5000
Zr 0.0000 0.5000 0.0000
Zr 0.0000 0.0000 0.5000
Ce 0.5000 0.0000 0.0000
CELL_PARAMETERS angstrom
4.6668 0.0000 0.0000
0.0000 4.6944 0.0000
0.0000 0.0000 4.6944
```

* size of the total moment: 0.00 μB/cell

***

The data favor version 2; the next most stable structure lies 19.4 kJ/mol of atoms above it.

***

Version 1
The following is a PBE calculation of Ce2Mg after structural relaxation, from Alexandria. Values from VASP.

Geometry as Quantum ESPRESSO input:
```
&SYSTEM
  ibrav = 0, nat = 6, ntyp = 2
/
ATOMIC_SPECIES
Ce 140.12 Ce.upf
Mg 24.30 Mg.upf
ATOMIC_POSITIONS crystal
Ce 0.9905 0.0095 0.0000
Ce 0.3130 0.6870 0.0000
Ce 0.4614 0.5386 0.5000
Ce 0.6568 0.3432 0.0000
Mg 0.1302 0.8698 0.5000
Mg 0.7815 0.2185 0.5000
CELL_PARAMETERS angstrom
8.5321 0.0369 0.0000
-7.9358 3.1338 0.0000
0.0000 0.0000 5.6927
```

* size of the total moment: 0.51 μB/cell

***

Version 2
The following is a PBE calculation of Ce2Mg after structural relaxation, from Alexandria. Values from VASP.

Geometry as Quantum ESPRESSO input:
```
&SYSTEM
  ibrav = 0, nat = 6, ntyp = 2
/
ATOMIC_SPECIES
Ce 140.12 Ce.upf
Mg 24.30 Mg.upf
ATOMIC_POSITIONS crystal
Ce 0.7811 0.2189 0.2500
Ce 0.2189 0.7811 0.7500
Ce 0.5727 0.4273 0.7500
Ce 0.4273 0.5727 0.2500
Mg 0.1079 0.8921 0.2500
Mg 0.8921 0.1079 0.7500
CELL_PARAMETERS angstrom
2.0414 6.9431 4.7751
-2.2069 -4.6477 -6.9789
-5.5309 0.7811 1.2289
```

* size of the total moment: 1.35 μB/cell

***

Version 3
The following is a PBE calculation of Ce2Mg after structural relaxation, from Alexandria. Values from VASP.

Geometry as Quantum ESPRESSO input:
```
&SYSTEM
  ibrav = 0, nat = 3, ntyp = 2
/
ATOMIC_SPECIES
Ce 140.12 Ce.upf
Mg 24.30 Mg.upf
ATOMIC_POSITIONS crystal
Ce 0.6886 0.6885 0.6231
Ce 0.3114 0.3115 0.3769
Mg 0.0000 0.0000 0.0000
CELL_PARAMETERS angstrom
-2.9807 -1.0902 0.2480
0.1392 0.6063 4.3378
-3.3238 4.8108 1.6488
```

* size of the total moment: 0.00 μB/cell

***

Version 4
The following is a PBE calculation of Ce2Mg after structural relaxation, from Alexandria. Values from VASP.

Geometry as Quantum ESPRESSO input:
```
&SYSTEM
  ibrav = 0, nat = 6, ntyp = 2
/
ATOMIC_SPECIES
Ce 140.12 Ce.upf
Mg 24.30 Mg.upf
ATOMIC_POSITIONS crystal
Ce 0.8486 0.1514 0.5000
Ce 0.1514 0.8486 0.5000
Ce 0.6514 0.6514 0.0000
Ce 0.3486 0.3486 0.0000
Mg 0.0000 0.0000 0.0000
Mg 0.5000 0.5000 0.5000
CELL_PARAMETERS angstrom
6.1735 0.0000 0.0000
0.0000 6.1735 0.0000
0.0000 0.0000 5.6337
```

* size of the total moment: 4.43 μB/cell

***

The data favor version 3; the next most stable structure lies 2.8 kJ/mol of atoms above it.

***

Version 1
The following is a PBE calculation of Ce2Mg after structural relaxation, from Alexandria. Values from VASP.

Geometry as Quantum ESPRESSO input:
```
&SYSTEM
  ibrav = 0, nat = 6, ntyp = 2
/
ATOMIC_SPECIES
Ce 140.12 Ce.upf
Mg 24.30 Mg.upf
ATOMIC_POSITIONS crystal
Ce 0.6667 0.3333 0.4157
Ce 0.3333 0.6667 0.9157
Ce 0.6667 0.3333 0.0843
Ce 0.3333 0.6667 0.5843
Mg 0.3333 0.6667 0.2500
Mg 0.6667 0.3333 0.7500
CELL_PARAMETERS angstrom
3.1395 0.0000 0.0000
-1.5697 2.7189 0.0000
0.0000 0.0000 17.7783
```

* size of the total moment: 0.00 μB/cell

***

Version 2
The following is a PBE calculation of Ce2Mg after structural relaxation, from Alexandria. Values from VASP.

Geometry as Quantum ESPRESSO input:
```
&SYSTEM
  ibrav = 0, nat = 6, ntyp = 2
/
ATOMIC_SPECIES
Mg 24.30 Mg.upf
Ce 140.12 Ce.upf
ATOMIC_POSITIONS crystal
Mg 0.5409 0.4591 0.7500
Mg 0.4591 0.5409 0.2500
Ce 0.1297 0.8703 0.2500
Ce 0.7970 0.2030 0.2500
Ce 0.2030 0.7970 0.7500
Ce 0.8703 0.1297 0.7500
CELL_PARAMETERS angstrom
9.3434 -0.0228 0.0000
-8.8041 3.1286 0.0000
0.0000 0.0000 5.2258
```

* size of the total moment: 0.00 μB/cell

***

Version 3
The following is a PBE calculation of Ce2Mg after structural relaxation, from Alexandria. Values from VASP.

Geometry as Quantum ESPRESSO input:
```
&SYSTEM
  ibrav = 0, nat = 6, ntyp = 2
/
ATOMIC_SPECIES
Ce 140.12 Ce.upf
Mg 24.30 Mg.upf
ATOMIC_POSITIONS crystal
Ce 0.8605 0.8605 0.5558
Ce 0.1395 0.1395 0.4442
Ce 0.2173 0.2173 0.8509
Ce 0.7827 0.7827 0.1491
Mg 0.4822 0.4822 0.8195
Mg 0.5178 0.5178 0.1805
CELL_PARAMETERS angstrom
1.5643 6.4799 0.2462
-1.5643 6.4799 0.2462
0.0000 2.0465 7.6479
```

* size of the total moment: 0.99 μB/cell

***

The data favor version 2; the next most stable structure lies 3.5 kJ/mol of atoms above it.

***

Version 1
The following is a PBE calculation of Ce2Mg after structural relaxation, from Alexandria. Values from VASP.

Geometry as Quantum ESPRESSO input:
```
&SYSTEM
  ibrav = 0, nat = 6, ntyp = 2
/
ATOMIC_SPECIES
Ce 140.12 Ce.upf
Mg 24.30 Mg.upf
ATOMIC_POSITIONS crystal
Ce 0.3517 0.9738 0.2500
Ce 0.6483 0.0262 0.7500
Ce 0.9738 0.3517 0.2500
Ce 0.0262 0.6483 0.7500
Mg 0.3276 0.3276 0.7500
Mg 0.6724 0.6724 0.2500
CELL_PARAMETERS angstrom
2.6800 -5.4206 0.0000
2.6800 5.4206 0.0000
0.0000 0.0000 5.2161
```

* size of the total moment: 0.00 μB/cell

***

Version 2
The following is a PBE calculation of Ce2Mg after structural relaxation, from Alexandria. Values from VASP.

Geometry as Quantum ESPRESSO input:
```
&SYSTEM
  ibrav = 0, nat = 6, ntyp = 2
/
ATOMIC_SPECIES
Mg 24.30 Mg.upf
Ce 140.12 Ce.upf
ATOMIC_POSITIONS crystal
Mg 0.6583 0.6583 0.4411
Mg 0.3417 0.3417 0.5589
Ce 0.6868 0.6868 0.8904
Ce 0.0192 0.0192 0.2215
Ce 0.3132 0.3132 0.1096
Ce 0.9808 0.9808 0.7785
CELL_PARAMETERS angstrom
5.5390 0.0069 0.0137
4.6032 3.0808 0.0137
3.5092 1.0684 8.9048
```

* size of the total moment: 0.00 μB/cell

***

The data favor version 2; the next most stable structure lies 4.2 kJ/mol of atoms above it.